! GGA-PBE U2In9Hg, optimized geometry; values from VASP
&SYSTEM
  ibrav = 0, nat = 12, ntyp = 3
/
ATOMIC_SPECIES
In 114.82 In.upf
Hg 200.59 Hg.upf
U 238.03 U.upf
ATOMIC_POSITIONS angstrom
In -0.8514 -3.1802 0.9073
In -1.3935 -4.0534 4.0792
In 1.0728 -4.2968 6.2034
Hg 0.0000 0.0000 0.0000
In 2.3050 -9.8721 6.8327
In -0.5054 -0.9508 3.2407
In 2.6510 -7.6427 9.1661
U 1.6381 -3.4729 3.0751
In 0.1522 -7.3303 6.9808
In 0.7268 -6.5261 3.8700
U 3.2024 -6.7893 6.0117
In -3.0409 -0.5607 0.9866
CELL_PARAMETERS angstrom
-2.6948 1.6687 3.3200
-3.3869 -2.7900 -1.3468
4.8404 -10.2622 9.0868
! V: 306.3 Å³ per cell
! total magnetization: 5.70 μB per cell
! space group: P4/mmm
! calculated formation energy: 50.5 meV/atom
! N(E_F): 1.050 states/eV/atom